[1]
Entry from the Alexandria database: a relaxed structure of Pr8HgIr3Br4 (GGA-PBE).

The structure belongs to space group C2/m (No. 12); the cell edges are 14.7838, 8.5374 and 9.2440 Å and the angles 90.00°, 122.25° and 90.00°. The inequivalent atoms are Pr at (0.0218, 0.2343, 0.3002), Pr at (0.2328, 0.0000, 0.6979), Pr at (0.2438, 0.5000, 0.6998), Hg at (0.0000, 0.5000, 0.5000), Ir at (0.0000, 0.0000, 0.5000), Ir at (0.2500, 0.2500, 0.5000), Br at (0.0000, 0.0000, 0.0000), Br at (0.0000, 0.5000, 0.0000) and Br at (0.2500, 0.2500, 0.0000).

For the magnetic moment, the calculation gives 0.0 μB/f.u. As for the raw formation energy: -0.9981 eV/atom. The raw total energy is -175.56 eV for the cell shown. The crystal system is monoclinic.

[2]
Entry from the Alexandria database: a relaxed structure of HgIrSeBr2 (GGA-PBE).

The structure belongs to space group P4/mmm (No. 123); the cell edges are 5.3364, 5.3364 and 4.6958 Å and the angles 90.00°, 90.00° and 90.00°. The inequivalent atoms are Hg at (0.0000, 0.0000, 0.0000), Ir at (0.5000, 0.5000, 0.5000), Se at (0.5000, 0.5000, 0.0000) and Br at (0.0000, 0.5000, 0.5000).

For the magnetic moment, the calculation gives 0.0 μB/f.u. As for the raw formation energy: 0.2088 eV/atom. The raw total energy is -14.95 eV for the cell shown. The crystal system is tetragonal. The calculation puts the energy above the most stable polymorph in this dataset at 0 kJ/mol of formula units.

[3]
Entry from the Alexandria database: a relaxed structure of HgTeIrBr2 (GGA-PBE).

The structure belongs to space group P4/mmm (No. 123); the cell edges are 5.1894, 5.1894 and 6.1515 Å and the angles 90.00°, 90.00° and 90.00°. The inequivalent atoms are Hg at (0.0000, 0.0000, 0.0000), Te at (0.0000, 0.0000, 0.5000), Ir at (0.5000, 0.5000, 0.5000) and Br at (0.0000, 0.5000, 0.0000).

For the magnetic moment, the calculation gives 2.2 μB/f.u. As for the raw formation energy: 1.2403 eV/atom. The raw total energy is -9.45 eV for the cell shown. The crystal system is tetragonal.

[4]
Entry from the Alexandria database: a relaxed structure of YHgIrBr2 (GGA-PBE).

The structure belongs to space group P4/mmm (No. 123); the cell edges are 5.4104, 5.4104 and 6.3264 Å and the angles 90.00°, 90.00° and 90.00°. The inequivalent atoms are Y at (0.0000, 0.0000, 0.0000), Hg at (0.0000, 0.0000, 0.5000), Ir at (0.5000, 0.5000, 0.5000) and Br at (0.0000, 0.5000, 0.0000).

For the magnetic moment, the calculation gives 2.6 μB/f.u. As for the raw formation energy: 0.3830 eV/atom. The raw total energy is -17.06 eV for the cell shown. The crystal system is tetragonal.

[5]
Entry from the Alexandria database: a relaxed structure of K3HgBr (GGA-PBE).

The structure belongs to space group Pm-3m (No. 221); the cell edges are 6.3591, 6.3591 and 6.3591 Å and the angles 90.00°, 90.00° and 90.00°. The inequivalent atoms are K at (0.0000, 0.0000, 0.5000), Hg at (0.5000, 0.5000, 0.5000) and Br at (0.0000, 0.0000, 0.0000).

For the magnetic moment, the calculation gives 0.0 μB/f.u. As for the raw formation energy: -0.6440 eV/atom. The raw total energy is -8.49 eV for the cell shown. The crystal system is cubic. The calculation puts the energy above the most stable polymorph in this dataset at 0 kJ/mol of formula units.

[6]
Entry from the Alexandria database: a relaxed structure of K2HgBr2 (GGA-PBE).

The structure belongs to space group P4/mbm (No. 127); the cell edges are 9.3583, 9.3583 and 4.1367 Å and the angles 90.00°, 90.00° and 90.00°. The inequivalent atoms are K at (0.1511, 0.3489, 0.0000), Hg at (0.0000, 0.0000, 0.5000) and Br at (0.1470, 0.6470, 0.5000).

For the magnetic moment, the calculation gives 0.0 μB/f.u. As for the raw formation energy: -1.2928 eV/atom. The raw total energy is -24.61 eV for the cell shown. The crystal system is tetragonal. The calculation puts the energy above the most stable polymorph in this dataset at 3 kJ/mol of formula units.

[7]
Entry from the Alexandria database: a relaxed structure of KHg2Br6 (GGA-PBE).

The structure belongs to space group C2/m (No. 12); the cell edges are 15.2394, 5.3776 and 10.8947 Å and the angles 90.00°, 129.03° and 90.00°. The inequivalent atoms are K at (0.0000, 0.0000, 0.0000), Hg at (0.1673, 0.0000, 0.7333), Br at (0.0285, 0.0000, 0.3479), Br at (0.1563, 0.5000, 0.2414) and Br at (0.2212, 0.5000, 0.8803).

For the magnetic moment, the calculation gives 0.0 μB/f.u. As for the raw formation energy: -0.6026 eV/atom. The raw total energy is -34.32 eV for the cell shown. The crystal system is monoclinic.

[8]
Entry from the Alexandria database: a relaxed structure of KHg3Br3 (GGA-PBE).

The structure belongs to space group Pm-3n (No. 223); the cell edges are 8.7203, 8.7203 and 8.7203 Å and the angles 90.00°, 90.00° and 90.00°. The inequivalent atoms are K at (0.0000, 0.0000, 0.0000), Hg at (0.0000, 0.2500, 0.5000) and Br at (0.0000, 0.5000, 0.2500).

For the magnetic moment, the calculation gives 0.0 μB/f.u. As for the raw formation energy: -0.2932 eV/atom. The raw total energy is -18.15 eV for the cell shown. The crystal system is cubic.

[9]
Entry from the Alexandria database: a relaxed structure of K8Hg2Br (GGA-PBE).

The structure belongs to space group C2/m (No. 12); the cell edges are 22.1377, 5.1934 and 9.9964 Å and the angles 90.00°, 95.33° and 90.00°. The inequivalent atoms are K at (0.0078, 0.0000, 0.2910), K at (0.0998, 0.5000, 0.0295), K at (0.1610, 0.5000, 0.4894), K at (0.2125, 0.0000, 0.8371), Hg at (0.1821, 0.0000, 0.2267) and Br at (0.0000, 0.5000, 0.5000).

For the magnetic moment, the calculation gives 0.0 μB/f.u. As for the raw formation energy: -0.3740 eV/atom. The raw total energy is -30.34 eV for the cell shown. The crystal system is monoclinic.

[10]
Entry from the Alexandria database: a relaxed structure of KHg2Br2 (GGA-PBE).

The structure belongs to space group P4/mbm (No. 127); the cell edges are 9.0200, 9.0200 and 5.4284 Å and the angles 90.00°, 90.00° and 90.00°. The inequivalent atoms are K at (0.0000, 0.0000, 0.0000), Hg at (0.1111, 0.3889, 0.5000) and Br at (0.2116, 0.2884, 0.0000).

For the magnetic moment, the calculation gives 0.0 μB/f.u. As for the raw formation energy: -0.6724 eV/atom. The raw total energy is -16.82 eV for the cell shown. The crystal system is tetragonal. The calculation puts the energy above the most stable polymorph in this dataset at 21 kJ/mol of formula units.

[11]
Entry from the Alexandria database: a relaxed structure of K2Hg2Br7 (GGA-PBE).

The structure belongs to space group C2/m (No. 12); the cell edges are 11.3390, 12.1017 and 6.4383 Å and the angles 90.00°, 95.07° and 90.00°. The inequivalent atoms are K at (0.0000, 0.2371, 0.0000), Hg at (0.2430, 0.5000, 0.4440), Br at (0.0000, 0.5000, 0.5000), Br at (0.1276, 0.0000, 0.1976) and Br at (0.2426, 0.1919, 0.7464).

For the magnetic moment, the calculation gives 0.0 μB/f.u. As for the raw formation energy: -0.7903 eV/atom. The raw total energy is -46.40 eV for the cell shown. The crystal system is monoclinic. The calculation puts the energy above the most stable polymorph in this dataset at 28 kJ/mol of formula units.

[12]
Entry from the Alexandria database: a relaxed structure of K2HgBr2 (GGA-PBE).

The structure belongs to space group I4/mmm (No. 139); the cell edges are 6.2280, 6.2280 and 12.7236 Å and the angles 90.00°, 90.00° and 90.00°. The inequivalent atoms are K at (0.0000, 0.5000, 0.2500), Hg at (0.0000, 0.0000, 0.0000) and Br at (0.0000, 0.0000, 0.3140).

For the magnetic moment, the calculation gives 0.0 μB/f.u. As for the raw formation energy: -1.2612 eV/atom. The raw total energy is -24.30 eV for the cell shown. The crystal system is tetragonal. The calculation puts the energy above the most stable polymorph in this dataset at 18 kJ/mol of formula units.

Among the records above, which one has the lowest raw formation energy? number 6

Which value of magnetic moment does entry 2 give? 0.0 μB/f.u.